[1]
Compound: Re2Ir
Source: Alexandria
Functional: PBE
Structure: relaxed

abc: 2.7644 5.2141 6.5445
angles: 76.59 90.00 105.37
Element x y z (fractional)
Ir: 0.9987 0.9974 0.0036
Ir: 0.6682 0.3364 0.6626
Re: 0.3901 0.7802 0.7220
Re: 0.0568 0.1135 0.3882
Re: 0.3323 0.6645 0.3354
Re: 0.7206 0.4412 0.0549

The calculation puts the formation energy at -55 kJ/mol of formula units. Its space group is No. 8.

[2]
Compound: NdGdCo
Source: Alexandria
Functional: PBE
Structure: relaxed

abc: 3.4343 3.4343 6.9612
angles: 104.28 104.28 90.00
Element x y z (fractional)
Nd: 0.0383 0.0383 0.0766
Gd: 0.2911 0.2911 0.5822
Co: 0.6706 0.6706 0.3412

The calculation puts the formation energy at -8 kJ/mol of formula units. Its space group is No. 107.

[3]
Compound: AlCr2Ga
Source: Alexandria
Functional: PBE
Structure: relaxed

abc: 2.6456 2.6456 7.6449
angles: 90.00 90.00 90.00
Element x y z (fractional)
Cr: 0.0000 0.0000 0.7496
Cr: 0.0000 0.0000 0.2504
Al: 0.5000 0.5000 0.5000
Ga: 0.5000 0.5000 0.0000

The calculation puts the formation energy at 36 kJ/mol of formula units. Its space group is No. 123.

[4]
Compound: LaBe2Tc
Source: Alexandria
Functional: PBE
Structure: relaxed

abc: 4.8693 4.8693 4.8693
angles: 135.73 116.68 80.50
Element x y z (fractional)
Be: 0.9689 0.9689 0.0000
Be: 0.8396 0.3396 0.5000
Tc: 0.1642 0.6642 0.5000
La: 0.5273 0.5273 0.0000

The calculation puts the formation energy at 158 kJ/mol of formula units. Its space group is No. 44.

[5]
Compound: Pm2Ge4Ir
Source: Alexandria
Functional: PBE
Structure: relaxed

abc: 4.4680 5.9702 5.9702
angles: 90.00 90.00 90.00
Element x y z (fractional)
Ge: 0.0000 0.7112 0.7112
Ge: 0.0000 0.2888 0.2888
Ge: 0.0000 0.7112 0.2888
Ge: 0.0000 0.2888 0.7112
Ir: 0.0000 0.0000 0.0000
Pm: 0.5000 0.0000 0.5000
Pm: 0.5000 0.5000 0.0000

The calculation puts the formation energy at -336 kJ/mol of formula units. Its space group is No. 123.

[6]
Compound: Sr3I12Br5
Source: Alexandria
Functional: PBE
Structure: relaxed

abc: 16.9954 16.9954 16.9954
angles: 109.47 109.47 109.47
Element x y z (fractional)
Sr: 0.7500 0.3750 0.1250
Sr: 0.8750 0.7500 0.1250
Sr: 0.3750 0.7500 0.6250
Sr: 0.2500 0.1250 0.3750
Sr: 0.8750 0.1250 0.2500
Sr: 0.3750 0.6250 0.2500
Sr: 0.6250 0.3750 0.7500
Sr: 0.1250 0.8750 0.7500
Sr: 0.7500 0.8750 0.6250
Sr: 0.6250 0.2500 0.3750
Sr: 0.1250 0.2500 0.8750
Sr: 0.2500 0.6250 0.8750
Br: 0.1250 0.3750 0.2500
Br: 0.0000 0.5000 0.0000
Br: 0.0000 0.0000 0.0000
Br: 0.3750 0.2500 0.1250
Br: 0.5000 0.0000 0.5000
Br: 0.5000 0.5000 0.0000
Br: 0.1250 0.7500 0.3750
Br: 0.7500 0.1250 0.8750
Br: 0.7500 0.6250 0.3750
Br: 0.3750 0.1250 0.7500
Br: 0.6250 0.8750 0.2500
Br: 0.5000 0.5000 0.5000
Br: 0.5000 0.0000 0.0000
Br: 0.0000 0.0000 0.5000
Br: 0.2500 0.3750 0.6250
Br: 0.2500 0.8750 0.1250
Br: 0.0000 0.5000 0.5000
Br: 0.8750 0.2500 0.6250
Br: 0.6250 0.7500 0.8750
Br: 0.8750 0.6250 0.7500
I: 0.7345 0.1575 0.0708
I: 0.3362 0.5708 0.4133
I: 0.9292 0.3425 0.2655
I: 0.5708 0.2345 0.1575
I: 0.5771 0.7345 0.6638
I: 0.9292 0.5867 0.1638
I: 0.3362 0.7655 0.4229
I: 0.0867 0.9229 0.1575
I: 0.5867 0.9292 0.6638
I: 0.7345 0.5771 0.1638
I: 0.7655 0.4292 0.3425
I: 0.8362 0.9133 0.0708
I: 0.1575 0.7345 0.5708
I: 0.3425 0.4133 0.0771
I: 0.0771 0.9133 0.3425
I: 0.4229 0.1575 0.5867
I: 0.0771 0.1638 0.2345
I: 0.4292 0.6638 0.0867
I: 0.8362 0.9229 0.2655
I: 0.1575 0.4229 0.0867
I: 0.3425 0.9292 0.7655
I: 0.5867 0.6575 0.4229
I: 0.9133 0.8362 0.5708
I: 0.7655 0.3362 0.9229
I: 0.4133 0.3425 0.5771
I: 0.0867 0.1638 0.4292
I: 0.2345 0.6638 0.0771
I: 0.1638 0.0771 0.7345
I: 0.6575 0.0708 0.2345
I: 0.8425 0.5771 0.9133
I: 0.5708 0.3362 0.9133
I: 0.5771 0.8425 0.4133
I: 0.9229 0.8362 0.7655
I: 0.9229 0.0867 0.6575
I: 0.8425 0.2655 0.4292
I: 0.1638 0.0867 0.9292
I: 0.6575 0.5867 0.9229
I: 0.4133 0.0708 0.3362
I: 0.2655 0.4229 0.8362
I: 0.2345 0.5708 0.6575
I: 0.9133 0.0771 0.8425
I: 0.6638 0.2345 0.5771
I: 0.4292 0.7655 0.8425
I: 0.0708 0.4133 0.8362
I: 0.4229 0.2655 0.3362
I: 0.0708 0.6575 0.7345
I: 0.6638 0.4292 0.5867
I: 0.2655 0.8425 0.9292

For the formation energy from raw total energies, the calculation gives -9.4 kcal/mol of atoms. Its space group is No. 230.

In order of appearance, DFT total energy = -11.441, -8.678, -6.410, -5.277, -5.759, -2.007 eV/atom.